This record from the Alexandria database describes an optimized crystal structure of Dy3AlZn. The functional is PBE-GGA. Values from VASP.

Energy relative to the lowest polymorph listed for this composition in meV/atom: 0
Space-group type: Cmcm
Electronic total energy in Ha/atom: -0.1489
Magnetization in Bohr magnetons per cell: 0.0
ΔH_f (0 K) in eV/atom: -0.2865

Geometry as Quantum ESPRESSO input:
```
&SYSTEM
  ibrav = 0, nat = 10, ntyp = 3
/
ATOMIC_SPECIES
Dy 162.50 Dy.upf
Al 26.98 Al.upf
Zn 65.41 Zn.upf
ATOMIC_POSITIONS angstrom
Dy 3.758 1.263 2.249
Dy 2.154 1.263 9.268
Dy 2.958 1.263 5.751
Dy 1.300 3.790 1.663
Dy 4.622 3.790 9.808
Dy 0.496 3.790 5.181
Al 2.561 3.790 7.488
Al 0.893 1.263 3.444
Zn 3.355 3.790 4.012
Zn 5.025 1.263 8.045
CELL_PARAMETERS angstrom
4.926 0.000 1.126
0.000 5.054 0.000
0.260 0.000 10.201
```

This record from the Alexandria database describes an optimized crystal structure of PrCu12Ge4. The functional is PBE-GGA. Values from VASP.

Space-group type: Im-3
Electronic total energy in Ha/atom: -0.1458
Magnetization in Bohr magnetons per cell: 0.0
ΔH_f (0 K) in eV/atom: 0.2906

Geometry as Quantum ESPRESSO input:
```
&SYSTEM
  ibrav = 0, nat = 17, ntyp = 3
/
ATOMIC_SPECIES
Pr 140.91 Pr.upf
Cu 63.55 Cu.upf
Ge 72.64 Ge.upf
ATOMIC_POSITIONS angstrom
Pr 0.000 0.000 0.000
Cu -4.651 -1.733 1.555
Cu -1.039 -2.997 0.487
Cu -3.186 0.592 4.426
Cu 0.727 0.549 5.121
Cu 1.392 -4.903 1.037
Cu -0.755 -1.314 4.976
Cu -2.110 -0.107 2.416
Cu 0.316 -4.204 3.047
Cu -2.520 -4.860 0.341
Cu -3.124 -3.047 2.830
Cu 1.331 -1.264 2.633
Cu 2.858 -2.578 3.908
Ge 0.976 -3.372 -0.765
Ge -3.554 0.131 0.512
Ge -0.897 -2.156 2.731
Ge 1.681 1.085 2.984
CELL_PARAMETERS angstrom
-7.108 0.263 1.025
1.952 -6.745 -1.531
3.363 2.171 5.969
```

This record from the Alexandria database describes an optimized crystal structure of KBaCo3. The functional is PBE-GGA. Values from VASP.

Energy relative to the lowest polymorph listed for this composition in meV/atom: 13
Space-group type: Pm-3m
Electronic total energy in Ha/atom: -0.1095
Magnetization in Bohr magnetons per cell: 6.0
ΔH_f (0 K) in eV/atom: 1.8891

Geometry as Quantum ESPRESSO input:
```
&SYSTEM
  ibrav = 0, nat = 5, ntyp = 3
/
ATOMIC_SPECIES
K 39.10 K.upf
Co 58.93 Co.upf
Ba 137.33 Ba.upf
ATOMIC_POSITIONS angstrom
K 2.839 2.839 2.839
Co 0.000 2.839 0.000
Co 0.000 0.000 2.839
Co 2.839 0.000 0.000
Ba 0.000 0.000 0.000
CELL_PARAMETERS angstrom
5.678 0.000 0.000
0.000 5.678 0.000
0.000 0.000 5.678
```

This record from the Alexandria database describes an optimized crystal structure of LiErMnCl6. The functional is PBE-GGA. Values from VASP.

Space-group type: P-31c
Raw formation energy in eV/atom: -1.517
Electronic total energy in Ha/atom: -0.1649
Magnetization in Bohr magnetons per cell: 2.0

Geometry as Quantum ESPRESSO input:
```
&SYSTEM
  ibrav = 0, nat = 18, ntyp = 4
/
ATOMIC_SPECIES
Li 6.94 Li.upf
Er 167.26 Er.upf
Mn 54.94 Mn.upf
Cl 35.45 Cl.upf
ATOMIC_POSITIONS angstrom
Li 0.000 0.000 0.000
Li 0.000 0.000 5.919
Er 3.167 1.828 2.959
Er 0.000 3.657 8.878
Mn 0.000 3.657 2.959
Mn 3.167 1.828 8.878
Cl 1.955 3.674 1.547
Cl -0.962 1.955 1.547
Cl 2.175 0.144 7.465
Cl 4.129 3.530 10.291
Cl 0.962 1.955 4.372
Cl -1.955 3.674 4.372
Cl 4.159 0.144 10.291
Cl 0.992 5.341 4.372
Cl 5.122 1.811 7.465
Cl -0.992 5.341 1.547
Cl 2.204 3.530 7.465
Cl 1.212 1.811 10.291
CELL_PARAMETERS angstrom
6.334 0.000 0.000
-3.167 5.485 0.000
0.000 0.000 11.838
```

This record from the Alexandria database describes an optimized crystal structure of LaZrPb2. The functional is PBE-GGA. Values from VASP.

Space-group type: P4/mmm
Electronic total energy in Ha/atom: -0.1981
Magnetization in Bohr magnetons per cell: 0.0
ΔH_f (0 K) in eV/atom: -0.1675

Geometry as Quantum ESPRESSO input:
```
&SYSTEM
  ibrav = 0, nat = 4, ntyp = 3
/
ATOMIC_SPECIES
La 138.91 La.upf
Pb 207.20 Pb.upf
Zr 91.22 Zr.upf
ATOMIC_POSITIONS angstrom
La 2.220 2.220 5.471
Pb 0.000 0.000 5.470
Pb 2.220 2.220 2.345
Zr 0.000 0.000 2.344
CELL_PARAMETERS angstrom
4.439 0.000 0.000
0.000 4.439 0.000
0.000 0.000 6.252
```

This record from the Alexandria database describes an optimized crystal structure of SrCo2BiB. The functional is PBE-GGA. Values from VASP.

Space-group type: P4/mmm
Electronic total energy in Ha/atom: -0.1342
Magnetization in Bohr magnetons per cell: 1.9
ΔH_f (0 K) in eV/atom: 1.6374

Geometry as Quantum ESPRESSO input:
```
&SYSTEM
  ibrav = 0, nat = 5, ntyp = 4
/
ATOMIC_SPECIES
Sr 87.62 Sr.upf
B 10.81 B.upf
Co 58.93 Co.upf
Bi 208.98 Bi.upf
ATOMIC_POSITIONS angstrom
Sr -1.029 -2.698 1.406
B -1.081 -1.095 4.443
Co 1.600 0.326 1.797
Co -1.653 1.276 1.240
Bi 0.000 0.000 0.000
CELL_PARAMETERS angstrom
-3.305 2.553 2.480
-2.058 -5.396 2.812
3.201 0.653 3.595
```

This record from the Alexandria database describes an optimized crystal structure of ZnNi2BIr. The functional is PBE-GGA. Values from VASP.

Space-group type: P4/mmm
Electronic total energy in Ha/atom: -0.2152
Magnetization in Bohr magnetons per cell: 0.0
ΔH_f (0 K) in eV/atom: -0.1803

Geometry as Quantum ESPRESSO input:
```
&SYSTEM
  ibrav = 0, nat = 5, ntyp = 4
/
ATOMIC_SPECIES
Ni 58.69 Ni.upf
Zn 65.41 Zn.upf
Ir 192.22 Ir.upf
B 10.81 B.upf
ATOMIC_POSITIONS angstrom
Ni 0.000 1.927 0.000
Ni 1.927 0.000 0.000
Zn 1.927 1.927 2.024
Ir 0.000 0.000 2.024
B 0.000 0.000 0.000
CELL_PARAMETERS angstrom
3.854 0.000 0.000
0.000 3.854 0.000
0.000 0.000 4.047
```

This record from the Alexandria database describes an optimized crystal structure of KYCr2Br8. The functional is PBE-GGA. Values from VASP.

Space-group type: P-1
Raw formation energy in eV/atom: -1.172
Electronic total energy in Ha/atom: -0.1662
Magnetization in Bohr magnetons per cell: 8.0

Geometry as Quantum ESPRESSO input:
```
&SYSTEM
  ibrav = 0, nat = 12, ntyp = 4
/
ATOMIC_SPECIES
K 39.10 K.upf
Y 88.91 Y.upf
Cr 52.00 Cr.upf
Br 79.90 Br.upf
ATOMIC_POSITIONS angstrom
K 1.956 4.373 1.034
Y 0.000 0.000 0.000
Cr 1.501 8.290 6.211
Cr -0.681 5.232 6.141
Br 1.502 3.406 6.095
Br -2.117 3.944 7.776
Br -1.969 4.287 4.180
Br -0.682 10.116 6.256
Br 2.937 9.578 4.576
Br 2.789 9.235 8.171
Br 0.455 6.675 7.875
Br 0.366 6.847 4.477
CELL_PARAMETERS angstrom
-4.649 4.035 3.300
1.558 0.742 6.983
3.912 8.746 2.069
```